[1]
Compound: RbLa2S3
Source: the Alexandria database
Functional: PBE-GGA
Structure: relaxed

## Properties
uncorrected formation energy	-1.97	eV/atom
DFT total energy	-5.834	eV per atom
magnetization	0.00	μB per formula unit
D(E_F)	2.2	states/eV/f.u.

Cell: 4.2339 4.2339 22.3957 Å, 90.00 90.00 120.00°
Space group P6_3/mmc (No. 194)
Asymmetric unit:
Rb  0.0000  0.0000  0.2500 x2
La  0.3333  0.6667  0.0767 x4
S  0.0000  0.0000  0.0000 x2
S  0.3333  0.6667  0.6458 x4

---

[2]
Compound: LaAgH6Rh
Source: the Alexandria database
Functional: PBE-GGA
Structure: relaxed

## Properties
DFT total energy	-4.207	eV per atom
magnetization	0.00	μB per formula unit
D(E_F)	1.7	states/eV/f.u.

Cell: 4.8364 4.8364 4.4416 Å, 90.00 90.00 120.00°
Space group P-6m2 (No. 187)
Asymmetric unit:
La  0.0000  0.0000  0.0000 x1
Ag  0.3333  0.6667  0.5000 x1
H  0.5185  0.0370  0.2317 x6
Rh  0.6667  0.3333  0.5000 x1

---

[3]
Compound: MnAsIr
Source: the Alexandria database
Functional: PBE-GGA
Structure: relaxed

## Properties
DFT total energy	-7.298	eV per atom
magnetization	3.31	μB per formula unit
formation energy from the elements	25.2	kJ per mole of atoms
D(E_F)	2.3	states/eV/f.u.

Cell: 2.892 4.875 12.927 Å, 90.00 90.00 90.00°
Space group Fmm2 (No. 42)
Asymmetric unit:
Mn  0.000  0.000  0.000 x4
As  0.000  0.000  0.338 x4
Ir  0.000  0.000  0.661 x4

---

no.,ρ (g/cm3)
1,4.389
2,6.565
3,11.738